[1]
{"formula": "Fe5C", "functional": "GGA-PBE", "state": "optimized geometry", "lattice": [[3.994, -1.308, 0.000], [3.994, 1.308, 0.000], [-1.409, 0.000, 6.012]], "species": ["Fe", "Fe", "Fe", "Fe", "Fe", "C"], "frac_coords": [[0.000, 0.000, 0.000], [0.079, 0.079, 0.422], [0.304, 0.304, 0.196], [0.395, 0.395, 0.630], [0.696, 0.696, 0.813], [0.772, 0.772, 0.425]], "formation_enthalpy_0k_ev_per_atom": 0.169, "dos_ef_per_ev_cell": 4.84}

***

[2]
{"formula": "FeC3", "functional": "GGA-PBE", "state": "optimized geometry", "lattice": [[-1.532, 1.532, 3.113], [1.532, -1.532, 3.113], [1.532, 1.532, -3.113]], "species": ["Fe", "C", "C", "C"], "frac_coords": [[0.000, 0.000, 0.000], [0.250, 0.750, 0.500], [0.500, 0.500, 0.000], [0.750, 0.250, 0.500]], "formation_enthalpy_0k_ev_per_atom": 2.759, "dos_ef_per_ev_cell": 2.45}

***

[3]
{"formula": "FeC2", "functional": "GGA-PBE", "state": "optimized geometry", "lattice": [[-1.260, 2.105, 5.495], [1.260, -2.105, 5.495], [1.260, 2.105, -5.495]], "species": ["Fe", "Fe", "C", "C", "C", "C"], "frac_coords": [[0.289, 0.039, 0.250], [0.711, 0.961, 0.750], [0.033, 0.283, 0.750], [0.162, 0.412, 0.750], [0.838, 0.588, 0.250], [0.967, 0.717, 0.250]], "formation_enthalpy_0k_ev_per_atom": 0.782, "dos_ef_per_ev_cell": 2.99}

***

[4]
{"formula": "FeC", "functional": "GGA-PBE", "state": "optimized geometry", "lattice": [[2.420, 0.000, 0.000], [0.000, 2.910, 0.000], [-0.010, 0.000, 2.773]], "species": ["Fe", "C"], "frac_coords": [[0.000, 0.000, 0.000], [0.500, 0.500, 0.000]], "formation_enthalpy_0k_ev_per_atom": 0.920, "dos_ef_per_ev_cell": 1.39}

***

[5]
{"formula": "FeC2", "functional": "GGA-PBE", "state": "optimized geometry", "lattice": [[-1.288, 2.097, 2.163], [1.288, -2.097, 2.163], [1.288, 2.097, -2.163]], "species": ["Fe", "C", "C"], "frac_coords": [[0.000, 0.000, 0.000], [0.341, 0.841, 0.500], [0.659, 0.159, 0.500]], "formation_enthalpy_0k_ev_per_atom": 0.875, "dos_ef_per_ev_cell": 1.19}

***

[6]
{"formula": "Fe7C3", "functional": "GGA-PBE", "state": "optimized geometry", "lattice": [[6.830, 0.000, 0.000], [-3.415, 5.915, 0.000], [0.000, 0.000, 4.488]], "species": ["Fe", "Fe", "Fe", "Fe", "Fe", "Fe", "Fe", "Fe", "Fe", "Fe", "Fe", "Fe", "Fe", "Fe", "C", "C", "C", "C", "C", "C"], "frac_coords": [[0.091, 0.546, 0.000], [0.122, 0.245, 0.675], [0.122, 0.878, 0.675], [0.245, 0.122, 0.175], [0.333, 0.667, 0.495], [0.454, 0.546, 0.000], [0.454, 0.909, 0.000], [0.546, 0.091, 0.500], [0.546, 0.454, 0.500], [0.667, 0.333, 0.995], [0.755, 0.878, 0.675], [0.878, 0.122, 0.175], [0.878, 0.755, 0.175], [0.909, 0.454, 0.500], [0.187, 0.373, 0.279], [0.187, 0.813, 0.279], [0.373, 0.187, 0.779], [0.627, 0.813, 0.279], [0.813, 0.187, 0.779], [0.813, 0.627, 0.779]], "formation_enthalpy_0k_ev_per_atom": 0.077, "dos_ef_per_ev_cell": 14.28}

***

[7]
{"formula": "FeC", "functional": "GGA-PBE", "state": "optimized geometry", "lattice": [[-1.310, 1.310, 2.476], [1.310, -1.310, 2.476], [1.310, 1.310, -2.476]], "species": ["Fe", "C"], "frac_coords": [[0.000, 0.000, 0.000], [0.375, 0.375, 0.000]], "formation_enthalpy_0k_ev_per_atom": 0.462, "dos_ef_per_ev_cell": 0.49}

***

[8]
{"formula": "FeC3", "functional": "GGA-PBE", "state": "optimized geometry", "lattice": [[2.555, 0.000, 0.000], [-1.277, 2.213, 0.000], [0.000, 0.000, 4.914]], "species": ["Fe", "C", "C", "C"], "frac_coords": [[0.000, 0.000, 0.000], [0.000, 0.000, 0.500], [0.333, 0.667, 0.300], [0.333, 0.667, 0.700]], "formation_enthalpy_0k_ev_per_atom": 2.050, "dos_ef_per_ev_cell": 2.31}

***

[9]
{"formula": "FeC3", "functional": "GGA-PBE", "state": "optimized geometry", "lattice": [[1.657, -2.868, 0.000], [1.657, 2.868, 0.000], [-1.455, 0.000, 3.594]], "species": ["Fe", "C", "C", "C"], "frac_coords": [[0.000, 0.000, 0.000], [0.231, 0.579, 0.800], [0.412, 0.588, 0.500], [0.421, 0.769, 0.200]], "formation_enthalpy_0k_ev_per_atom": 0.974, "dos_ef_per_ev_cell": 1.18}

***

[10]
{"formula": "Fe2C3", "functional": "GGA-PBE", "state": "optimized geometry", "lattice": [[2.614, 0.000, 0.000], [-1.307, 2.264, 0.000], [0.000, 0.000, 6.760]], "species": ["Fe", "Fe", "C", "C", "C"], "frac_coords": [[0.333, 0.667, 0.329], [0.667, 0.333, 0.671], [0.000, 0.000, 0.500], [0.333, 0.667, 0.019], [0.667, 0.333, 0.981]], "formation_enthalpy_0k_ev_per_atom": 0.461, "dos_ef_per_ev_cell": 3.01}

***

[11]
{"formula": "Fe2C", "functional": "GGA-PBE", "state": "optimized geometry", "lattice": [[2.195, -4.753, 0.000], [2.195, 4.753, 0.000], [0.000, 0.000, 2.748]], "species": ["Fe", "Fe", "Fe", "Fe", "C", "C"], "frac_coords": [[0.000, 0.000, 0.000], [0.211, 0.789, 0.500], [0.500, 0.500, 0.500], [0.789, 0.211, 0.500], [0.349, 0.651, 0.000], [0.651, 0.349, 0.000]], "formation_enthalpy_0k_ev_per_atom": 0.631, "dos_ef_per_ev_cell": 4.26}

***

[12]
{"formula": "FeC3", "functional": "GGA-PBE", "state": "optimized geometry", "lattice": [[2.638, 0.000, 0.000], [0.000, 1.901, 3.631], [0.000, -1.901, 3.631]], "species": ["Fe", "C", "C", "C"], "frac_coords": [[0.000, 0.000, 0.000], [0.500, 0.215, 0.215], [0.500, 0.637, 0.996], [0.500, 0.996, 0.637]], "formation_enthalpy_0k_ev_per_atom": 0.772, "dos_ef_per_ev_cell": 2.02}

***

[13]
{"formula": "FeC2", "functional": "GGA-PBE", "state": "optimized geometry", "lattice": [[2.625, 0.000, 0.000], [-1.312, 2.273, 0.000], [0.000, 0.000, 3.882]], "species": ["Fe", "C", "C"], "frac_coords": [[0.000, 0.000, 0.000], [0.333, 0.667, 0.318], [0.333, 0.667, 0.682]], "formation_enthalpy_0k_ev_per_atom": 0.598, "dos_ef_per_ev_cell": 0.38}

***

[14]
{"formula": "Fe2C", "functional": "GGA-PBE", "state": "optimized geometry", "lattice": [[-1.296, 1.738, 3.009], [1.296, -1.738, 3.009], [1.296, 1.738, -3.009]], "species": ["Fe", "Fe", "C"], "frac_coords": [[0.181, 0.181, 0.000], [0.819, 0.819, 0.000], [0.500, 0.500, 0.000]], "formation_enthalpy_0k_ev_per_atom": 0.949, "dos_ef_per_ev_cell": 3.34}

***

[15]
{"formula": "Fe2C3", "functional": "GGA-PBE", "state": "optimized geometry", "lattice": [[0.000, 6.077, 1.423], [5.007, 0.000, 1.423], [5.007, 6.077, 0.000]], "species": ["Fe", "Fe", "Fe", "Fe", "C", "C", "C", "C", "C", "C"], "frac_coords": [[0.082, 0.418, 0.091], [0.159, 0.841, 0.168], [0.418, 0.082, 0.409], [0.841, 0.159, 0.832], [0.089, 0.420, 0.836], [0.173, 0.173, 0.827], [0.414, 0.595, 0.161], [0.420, 0.089, 0.655], [0.423, 0.423, 0.077], [0.595, 0.414, 0.830]], "formation_enthalpy_0k_ev_per_atom": 0.652, "dos_ef_per_ev_cell": 6.30}

***

[16]
{"formula": "Fe2C", "functional": "GGA-PBE", "state": "optimized geometry", "lattice": [[3.152, 0.000, 0.000], [-1.576, 2.730, 0.000], [0.000, 0.000, 6.988]], "species": ["Fe", "Fe", "Fe", "Fe", "C", "C"], "frac_coords": [[0.000, 0.000, 0.000], [0.000, 0.000, 0.500], [0.333, 0.667, 0.250], [0.667, 0.333, 0.750], [0.333, 0.667, 0.750], [0.667, 0.333, 0.250]], "formation_enthalpy_0k_ev_per_atom": 0.533, "dos_ef_per_ev_cell": 5.70}

***

[17]
{"formula": "FeC2", "functional": "GGA-PBE", "state": "optimized geometry", "lattice": [[-1.567, 1.567, 2.604], [1.567, -1.567, 2.604], [1.567, 1.567, -2.604]], "species": ["Fe", "C", "C"], "frac_coords": [[0.000, 0.000, 0.000], [0.374, 0.374, 0.000], [0.626, 0.626, 0.000]], "formation_enthalpy_0k_ev_per_atom": 1.155, "dos_ef_per_ev_cell": 2.29}

***

[18]
{"formula": "FeC3", "functional": "GGA-PBE", "state": "optimized geometry", "lattice": [[3.010, -1.252, 0.000], [3.010, 1.252, 0.000], [-1.596, 0.000, 4.495]], "species": ["Fe", "C", "C", "C"], "frac_coords": [[0.000, 0.000, 0.000], [0.204, 0.204, 0.757], [0.640, 0.640, 0.286], [0.700, 0.700, 0.598]], "formation_enthalpy_0k_ev_per_atom": 0.637, "dos_ef_per_ev_cell": 1.02}

***

[19]
{"formula": "FeC2", "functional": "GGA-PBE", "state": "optimized geometry", "lattice": [[-1.279, 1.279, 13.089], [1.279, -1.279, 13.089], [1.279, 1.279, -13.089]], "species": ["Fe", "Fe", "Fe", "Fe", "C", "C", "C", "C", "C", "C", "C", "C"], "frac_coords": [[0.315, 0.565, 0.750], [0.435, 0.685, 0.750], [0.565, 0.315, 0.250], [0.685, 0.435, 0.250], [0.015, 0.765, 0.250], [0.125, 0.375, 0.750], [0.235, 0.985, 0.250], [0.375, 0.125, 0.250], [0.625, 0.875, 0.750], [0.765, 0.015, 0.750], [0.875, 0.625, 0.250], [0.985, 0.235, 0.750]], "formation_enthalpy_0k_ev_per_atom": 1.273, "dos_ef_per_ev_cell": 7.74}

***

[20]
{"formula": "FeC3", "functional": "GGA-PBE", "state": "optimized geometry", "lattice": [[3.784, 0.000, 0.000], [-1.892, 3.277, 0.000], [0.000, 0.000, 8.745]], "species": ["Fe", "Fe", "C", "C", "C", "C", "C", "C"], "frac_coords": [[0.333, 0.667, 0.250], [0.667, 0.333, 0.750], [0.206, 0.412, 0.750], [0.206, 0.794, 0.750], [0.412, 0.206, 0.250], [0.588, 0.794, 0.750], [0.794, 0.206, 0.250], [0.794, 0.588, 0.250]], "formation_enthalpy_0k_ev_per_atom": 1.643, "dos_ef_per_ev_cell": 0.61}

***

[21]
{"formula": "Fe5C4", "functional": "GGA-PBE", "state": "optimized geometry", "lattice": [[5.541, 0.000, 0.000], [-2.771, 4.799, 0.000], [0.000, 0.000, 5.604]], "species": ["Fe", "Fe", "Fe", "Fe", "Fe", "Fe", "Fe", "Fe", "Fe", "Fe", "C", "C", "C", "C", "C", "C", "C", "C"], "frac_coords": [[0.000, 0.247, 0.250], [0.000, 0.753, 0.750], [0.247, 0.000, 0.250], [0.247, 0.247, 0.750], [0.333, 0.667, 0.000], [0.333, 0.667, 0.500], [0.667, 0.333, 0.000], [0.667, 0.333, 0.500], [0.753, 0.000, 0.750], [0.753, 0.753, 0.250], [0.000, 0.000, 0.000], [0.000, 0.000, 0.500], [0.000, 0.417, 0.750], [0.000, 0.583, 0.250], [0.417, 0.000, 0.750], [0.417, 0.417, 0.250], [0.583, 0.000, 0.250], [0.583, 0.583, 0.750]], "formation_enthalpy_0k_ev_per_atom": 0.460, "dos_ef_per_ev_cell": 16.60}

***

[22]
{"formula": "GaFe2C", "functional": "GGA-PBE", "state": "optimized geometry", "lattice": [[1.424, 0.822, 6.125], [-1.424, 0.822, 6.125], [0.000, -1.644, 6.125]], "species": ["Ga", "Fe", "Fe", "C"], "frac_coords": [[0.000, 0.000, 0.000], [0.221, 0.221, 0.221], [0.779, 0.779, 0.779], [0.500, 0.500, 0.500]], "formation_enthalpy_0k_ev_per_atom": 0.006, "dos_ef_per_ev_cell": 2.57}

***

[23]
{"formula": "Ga3Fe9C2", "functional": "GGA-PBE", "state": "optimized geometry", "lattice": [[5.238, 0.000, 0.000], [-2.619, 4.537, 0.000], [0.000, 0.000, 12.999]], "species": ["Ga", "Ga", "Ga", "Ga", "Ga", "Ga", "Fe", "Fe", "Fe", "Fe", "Fe", "Fe", "Fe", "Fe", "Fe", "Fe", "Fe", "Fe", "Fe", "Fe", "Fe", "Fe", "Fe", "Fe", "C", "C", "C", "C"], "frac_coords": [[0.000, 0.000, 0.250], [0.000, 0.000, 0.750], [0.333, 0.667, 0.087], [0.333, 0.667, 0.413], [0.667, 0.333, 0.587], [0.667, 0.333, 0.913], [0.001, 0.500, 0.750], [0.158, 0.316, 0.578], [0.158, 0.316, 0.922], [0.158, 0.842, 0.578], [0.158, 0.842, 0.922], [0.316, 0.158, 0.078], [0.316, 0.158, 0.422], [0.500, 0.001, 0.250], [0.500, 0.500, 0.250], [0.500, 0.500, 0.750], [0.500, 0.999, 0.750], [0.684, 0.842, 0.578], [0.684, 0.842, 0.922], [0.842, 0.158, 0.078], [0.842, 0.158, 0.422], [0.842, 0.684, 0.078], [0.842, 0.684, 0.422], [0.999, 0.500, 0.250], [0.333, 0.667, 0.658], [0.333, 0.667, 0.842], [0.667, 0.333, 0.158], [0.667, 0.333, 0.342]], "formation_enthalpy_0k_ev_per_atom": -0.027, "dos_ef_per_ev_cell": 23.13}

***

[24]
{"formula": "GaFe2C", "functional": "GGA-PBE", "state": "optimized geometry", "lattice": [[-3.023, 3.023, 2.403], [3.023, -3.023, 2.403], [3.023, 3.023, -2.403]], "species": ["Ga", "Ga", "Fe", "Fe", "Fe", "Fe", "C", "C"], "frac_coords": [[0.000, 0.000, 0.000], [0.750, 0.250, 0.500], [0.225, 0.625, 0.100], [0.375, 0.475, 0.600], [0.525, 0.125, 0.900], [0.875, 0.775, 0.400], [0.250, 0.750, 0.500], [0.500, 0.500, 0.000]], "formation_enthalpy_0k_ev_per_atom": 0.271, "dos_ef_per_ev_cell": 6.82}

***

[25]
{"formula": "GaFe2C", "functional": "GGA-PBE", "state": "optimized geometry", "lattice": [[0.000, 2.706, 2.706], [2.706, 0.000, 2.706], [2.706, 2.706, 0.000]], "species": ["Ga", "Fe", "Fe", "C"], "frac_coords": [[0.000, 0.000, 0.000], [0.250, 0.250, 0.250], [0.750, 0.750, 0.750], [0.500, 0.500, 0.500]], "formation_enthalpy_0k_ev_per_atom": 0.931, "dos_ef_per_ev_cell": 3.71}

***

| no. | total magnetization (μB per cell) |
| --- | --- |
| 1 | 10.1 |
| 2 | 0.0 |
| 3 | 2.8 |
| 4 | 0.6 |
| 5 | 0.0 |
| 6 | 23.5 |
| 7 | 0.0 |
| 8 | 0.0 |
| 9 | 1.0 |
| 10 | 1.5 |
| 11 | 6.9 |
| 12 | 1.0 |
| 13 | 0.0 |
| 14 | 0.0 |
| 15 | 3.7 |
| 16 | 5.3 |
| 17 | 1.5 |
| 18 | 0.0 |
| 19 | 0.0 |
| 20 | 0.0 |
| 21 | 5.9 |
| 22 | 2.0 |
| 23 | 26.8 |
| 24 | 3.8 |
| 25 | 0.6 |